Record 1
The following is a GGA-PBEsol calculation of a relaxed structure of GaRe2W2, from Alexandria.

Values from the calculation:
SG   I4/mmm, No. 139
Calculated density   14.64 g/cm³
Formation energy from the elements   0.7890 eV per atom

Geometry as POSCAR:
```
GaRe2W2
1.0
3.9746 0.0000 0.0000
0.0000 3.9746 0.0000
-1.9873 -1.9873 5.8126
Re Ga W
2 1 2
Direct
0.2500 0.7500 0.5000
0.7500 0.2500 0.5000
0.0000 0.0000 0.0000
0.3843 0.3843 0.7687
0.6157 0.6157 0.2313
```

---

Record 2
The following is a GGA-PBEsol calculation of a relaxed structure of Zr2Ga2Re, from Alexandria.

Values from the calculation:
SG   P4/mbm, No. 127
Calculated density   9.89 g/cm³
Formation energy from the elements   -0.5242 eV per atom

Geometry as POSCAR:
```
Zr2Ga2Re
1.0
-2.6796 -2.0030 1.5384
-1.6338 -2.5102 -6.1141
4.3745 -5.1319 0.9380
Re Ga Zr
2 4 4
Direct
0.0000 0.0000 0.0000
0.0000 0.5000 0.5000
0.0000 0.3725 0.8725
0.0000 0.8725 0.6275
0.0000 0.6275 0.1275
0.0000 0.1275 0.3725
0.5000 0.1768 0.6768
0.5000 0.6768 0.8232
0.5000 0.8232 0.3232
0.5000 0.3232 0.1768
```

---

Record 3
The following is a GGA-PBEsol calculation of a relaxed structure of GaRh3, from Alexandria.

Values from the calculation:
SG   I4/mmm, No. 139
Calculated density   11.67 g/cm³
Formation energy from the elements   -0.3305 eV per atom

Geometry as POSCAR:
```
GaRh3
1.0
-1.7399 -3.3864 -0.2892
3.3939 -1.7485 0.0553
-1.0026 2.3431 3.8001
Rh Ga
3 1
Direct
0.0000 0.0000 0.0000
0.7500 0.2500 0.5000
0.2500 0.7500 0.5000
0.5000 0.5000 0.0000
```

---

Record 4
The following is a GGA-PBEsol calculation of a relaxed structure of GaRh, from Alexandria.

Values from the calculation:
SG   Pm-3m, No. 221
Calculated density   10.72 g/cm³
Formation energy from the elements   -0.7078 eV per atom

Geometry as POSCAR:
```
GaRh
1.0
2.9904 0.0000 0.0000
0.0000 2.9904 0.0000
0.0000 0.0000 2.9904
Rh Ga
1 1
Direct
0.0000 0.0000 0.0000
0.5000 0.5000 0.5000
```

---

Record 5
The following is a GGA-PBEsol calculation of a relaxed structure of Ga5Rh3, from Alexandria.

Values from the calculation:
SG   P-1, No. 2
Calculated density   9.29 g/cm³
Formation energy from the elements   -0.6241 eV per atom

Geometry as POSCAR:
```
Ga5Rh3
1.0
4.9351 0.0232 0.0132
-1.2756 6.4768 0.0085
-1.9836 -1.9174 7.3397
Ga Rh
10 6
Direct
0.7758 0.5433 0.5404
0.2242 0.4567 0.4596
0.9164 0.1773 0.0509
0.0836 0.8227 0.9491
0.5496 0.1436 0.2742
0.4504 0.8564 0.7258
0.6879 0.4726 0.8733
0.3121 0.5274 0.1267
0.0427 0.9058 0.3466
0.9573 0.0942 0.6534
0.8405 0.5138 0.2238
0.1595 0.4862 0.7762
0.6344 0.8265 0.0508
0.3656 0.1735 0.9492
0.5461 0.8056 0.4200
0.4539 0.1945 0.5800
```

---

Record 6
The following is a GGA-PBEsol calculation of a relaxed structure of Ga2RuRh, from Alexandria.

Values from the calculation:
SG   Fm-3m, No. 225
Calculated density   10.74 g/cm³
Formation energy from the elements   -0.5494 eV per atom

Geometry as POSCAR:
```
Ga2RuRh
1.0
4.2188 0.0000 0.0000
2.1094 3.6536 0.0000
2.1094 1.2179 3.4447
Ru Rh Ga
1 1 2
Direct
0.0000 0.0000 0.0000
0.5000 0.5000 0.5000
0.2500 0.2500 0.2500
0.7500 0.7500 0.7500
```

---

Record 7
The following is a GGA-PBEsol calculation of a relaxed structure of ScGa2Rh2, from Alexandria.

Values from the calculation:
SG   I4/mmm, No. 139
Calculated density   8.05 g/cm³
Formation energy from the elements   -0.6120 eV per atom

Geometry as POSCAR:
```
ScGa2Rh2
1.0
-2.6495 2.0108 1.4567
-2.4699 -1.9158 -1.8478
2.1312 -3.9822 4.8475
Sc Rh Ga
1 2 2
Direct
0.0000 0.0000 0.0000
0.3933 0.3933 0.7865
0.6067 0.6067 0.2135
0.2500 0.7500 0.5000
0.7500 0.2500 0.5000
```

---

Record 8
The following is a GGA-PBEsol calculation of a relaxed structure of GaRhSe2, from Alexandria.

Values from the calculation:
SG   R-3m, No. 166
Formation energy (no corrections)   115 meV per atom
Calculated density   6.78 g/cm³

Geometry as POSCAR:
```
GaRhSe2
1.0
-1.5714 0.5766 3.0652
-3.4735 0.3328 0.1463
-2.3605 -7.2536 2.1440
Rh Ga Se
1 1 2
Direct
0.0000 0.0000 0.0000
0.5000 0.5000 0.5000
0.8994 0.8994 0.3018
0.1006 0.1006 0.6982
```

---

Record 9
The following is a GGA-PBEsol calculation of a relaxed structure of GaSi2Rh, from Alexandria.

Values from the calculation:
SG   I-42d, No. 122
Formation energy (no corrections)   -138 meV per atom
Calculated density   6.46 g/cm³

Geometry as POSCAR:
```
GaSi2Rh
1.0
-2.1405 -0.5513 -2.9827
-2.2768 -2.1200 2.0258
-2.3969 8.2235 2.5105
Si Rh Ga
4 2 2
Direct
0.3764 0.8750 0.2500
0.8736 0.3750 0.2500
0.1250 0.1264 0.7500
0.6250 0.6236 0.7500
0.2500 0.7500 0.5000
0.0000 0.0000 0.0000
0.7500 0.2500 0.5000
0.5000 0.5000 0.0000
```

---

Record 10
The following is a GGA-PBEsol calculation of a relaxed structure of Ga3SiRh, from Alexandria.

Values from the calculation:
SG   Pm-3m, No. 221
Formation energy (no corrections)   795 meV per atom
Calculated density   5.81 g/cm³

Geometry as POSCAR:
```
Ga3SiRh
1.0
-0.0663 -4.4406 -1.1874
2.3139 -1.0583 3.8288
-3.9718 -0.5424 2.2504
Si Rh Ga
1 1 3
Direct
0.0000 0.0000 0.0000
0.5000 0.5000 0.5000
0.0000 0.5000 0.0000
0.0000 0.0000 0.5000
0.5000 0.0000 0.0000
```

---

Record 11
The following is a GGA-PBEsol calculation of a relaxed structure of SmGaRh2, from Alexandria.

Values from the calculation:
SG   Fm-3m, No. 225
Calculated density   10.64 g/cm³
Formation energy from the elements   -0.6861 eV per atom

Geometry as POSCAR:
```
SmGaRh2
1.0
4.5464 0.0000 0.0000
2.2732 3.9373 0.0000
2.2732 1.3124 3.7121
Rh Sm Ga
2 1 1
Direct
0.7500 0.7500 0.7500
0.2500 0.2500 0.2500
0.0000 0.0000 0.0000
0.5000 0.5000 0.5000
```

---

Record 12
The following is a GGA-PBEsol calculation of a relaxed structure of Ga3SnRh, from Alexandria.

Values from the calculation:
E above lowest polymorph   0 meV/atom
SG   Pm-3m, No. 221
Calculated density   6.76 g/cm³
Formation energy from the elements   -0.0601 eV per atom

Geometry as POSCAR:
```
Ga3SnRh
1.0
4.7303 0.0000 0.0000
0.0000 4.7303 0.0000
0.0000 0.0000 4.7303
Rh Sn Ga
1 1 3
Direct
0.0000 0.0000 0.0000
0.5000 0.5000 0.5000
0.0000 0.5000 0.0000
0.0000 0.0000 0.5000
0.5000 0.0000 0.0000
```

---

Record 13
The following is a GGA-PBEsol calculation of a relaxed structure of GaSn3Rh, from Alexandria.

Values from the calculation:
SG   Pm-3m, No. 221
Calculated density   6.86 g/cm³
Formation energy from the elements   0.9282 eV per atom

Geometry as POSCAR:
```
GaSn3Rh
1.0
-2.2133 -0.1373 4.5243
-2.5993 -4.0844 -1.3956
3.7056 -2.9471 1.7234
Rh Sn Ga
1 3 1
Direct
0.5000 0.5000 0.5000
0.0000 0.5000 0.0000
0.0000 0.0000 0.5000
0.5000 0.0000 0.0000
0.0000 0.0000 0.0000
```

---

Record 14
The following is a GGA-PBEsol calculation of a relaxed structure of GaSnRh3, from Alexandria.

Values from the calculation:
SG   Pm-3m, No. 221
Calculated density   9.33 g/cm³
Formation energy from the elements   0.4065 eV per atom

Geometry as POSCAR:
```
GaSnRh3
1.0
-2.8460 -0.6063 -3.3738
0.0322 -4.3896 0.7616
-3.4277 0.4621 2.8084
Rh Sn Ga
3 1 1
Direct
0.0000 0.5000 0.0000
0.0000 0.0000 0.5000
0.5000 0.0000 0.0000
0.5000 0.5000 0.5000
0.0000 0.0000 0.0000
```

---

Record 15
The following is a GGA-PBEsol calculation of a relaxed structure of SrGa2Rh2, from Alexandria.

Values from the calculation:
SG   Fddd, No. 70
Calculated density   7.28 g/cm³
Formation energy from the elements   -0.6683 eV per atom

Geometry as POSCAR:
```
SrGa2Rh2
1.0
5.6526 0.0000 0.0000
2.8263 5.2093 0.0000
2.8263 0.0000 6.7052
Sr Ga Rh
2 4 4
Direct
0.5000 0.0000 0.0000
0.2500 0.5000 0.5000
0.8169 0.3663 0.0000
0.1831 0.6337 0.0000
0.9331 0.1337 0.5000
0.5669 0.8663 0.5000
0.1147 0.0000 0.7706
0.8853 0.0000 0.2294
0.6353 0.5000 0.7294
0.8647 0.5000 0.2706
```

---

Record 16
The following is a GGA-PBEsol calculation of a relaxed structure of SrGaRh3, from Alexandria.

Values from the calculation:
SG   Pm-3m, No. 221
Calculated density   6.91 g/cm³
Formation energy from the elements   1.8739 eV per atom

Geometry as POSCAR:
```
SrGaRh3
1.0
-3.7274 3.0213 -0.4712
-1.8972 -1.7023 4.0923
2.3981 3.3493 2.5051
Sr Rh Ga
1 3 1
Direct
0.0000 0.0000 0.0000
0.0000 0.5000 0.0000
0.0000 0.0000 0.5000
0.5000 0.0000 0.0000
0.5000 0.5000 0.5000
```

---

Record 17
The following is a GGA-PBEsol calculation of a relaxed structure of Sr3GaRh, from Alexandria.

Values from the calculation:
SG   Pm-3m, No. 221
Calculated density   3.84 g/cm³
Formation energy from the elements   0.5630 eV per atom

Geometry as POSCAR:
```
Sr3GaRh
1.0
-3.6243 -4.3413 0.9358
1.3703 0.0558 5.5658
-4.2244 3.7428 1.0025
Sr Rh Ga
3 1 1
Direct
0.0000 0.5000 0.0000
0.0000 0.0000 0.5000
0.5000 0.0000 0.0000
0.5000 0.5000 0.5000
0.0000 0.0000 0.0000
```

---

Record 18
The following is a GGA-PBEsol calculation of a relaxed structure of SrGa2Rh2, from Alexandria.

Values from the calculation:
SG   I4/mmm, No. 139
Calculated density   7.70 g/cm³
Formation energy from the elements   -0.6703 eV per atom

Geometry as POSCAR:
```
SrGa2Rh2
1.0
4.3152 0.0000 0.0000
0.0000 4.3152 0.0000
-2.1576 -2.1576 5.0110
Sr Rh Ga
1 2 2
Direct
0.0000 0.0000 0.0000
0.2500 0.7500 0.5000
0.7500 0.2500 0.5000
0.3651 0.3651 0.7302
0.6349 0.6349 0.2698
```

---

Record 19
The following is a GGA-PBEsol calculation of a relaxed structure of Ti6Ga16Rh7, from Alexandria.

Values from the calculation:
SG   Fm-3m, No. 225
Calculated density   8.15 g/cm³
Formation energy from the elements   -0.5885 eV per atom

Geometry as POSCAR:
```
Ti6Ga16Rh7
1.0
8.4877 0.0000 0.0000
4.2439 7.3506 0.0000
4.2439 2.4502 6.9302
Ti Ga Rh
6 16 7
Direct
0.3067 0.3067 0.6933
0.6933 0.3067 0.6933
0.6933 0.3067 0.3067
0.6933 0.6933 0.3067
0.3067 0.6933 0.3067
0.3067 0.6933 0.6933
0.8773 0.3681 0.8773
0.8773 0.8773 0.3681
0.8773 0.8773 0.8773
0.3681 0.8773 0.8773
0.1227 0.6319 0.1227
0.1227 0.1227 0.6319
0.1227 0.1227 0.1227
0.6319 0.1227 0.1227
0.6497 0.0508 0.6497
0.6497 0.6497 0.0508
0.6497 0.6497 0.6497
0.0508 0.6497 0.6497
0.3503 0.9492 0.3503
0.3503 0.3503 0.9492
0.3503 0.3503 0.3503
0.9492 0.3503 0.3503
0.0000 0.0000 0.0000
0.5000 0.5000 0.0000
0.0000 0.5000 0.0000
0.0000 0.5000 0.5000
0.0000 0.0000 0.5000
0.5000 0.0000 0.5000
0.5000 0.0000 0.0000
```

---

Record 20
The following is a GGA-PBEsol calculation of a relaxed structure of TiGa2Rh, from Alexandria.

Values from the calculation:
SG   Fm-3m, No. 225
Calculated density   8.43 g/cm³
Formation energy from the elements   -0.5113 eV per atom

Geometry as POSCAR:
```
TiGa2Rh
1.0
4.3241 0.0000 0.0000
2.1621 3.7448 0.0000
2.1621 1.2483 3.5306
Rh Ga Ti
1 2 1
Direct
0.5000 0.5000 0.5000
0.2500 0.2500 0.2500
0.7500 0.7500 0.7500
0.0000 0.0000 0.0000
```

---

Record 21
The following is a GGA-PBEsol calculation of a relaxed structure of TlGa2RhW, from Alexandria.

Values from the calculation:
SG   P4/mmm, No. 123
Calculated density   9.13 g/cm³
Formation energy from the elements   0.7793 eV per atom

Geometry as POSCAR:
```
TlGa2RhW
1.0
-0.9260 -3.2498 3.1896
4.7628 0.0275 1.4108
-1.0055 3.5504 3.3255
Tl Rh Ga W
1 1 2 1
Direct
0.5000 0.5000 0.5000
0.5000 0.0000 0.0000
0.0000 0.0000 0.5000
0.0000 0.5000 0.0000
0.0000 0.0000 0.0000
```

---

Record 22
The following is a GGA-PBEsol calculation of a relaxed structure of TmGaRh2, from Alexandria.

Values from the calculation:
SG   Fm-3m, No. 225
Calculated density   11.85 g/cm³
Formation energy from the elements   -0.8825 eV per atom

Geometry as POSCAR:
```
TmGaRh2
1.0
-1.3308 -0.4860 4.2182
2.3049 -2.6064 2.7739
2.3685 1.8114 3.3030
Tm Rh Ga
1 2 1
Direct
0.5000 0.5000 0.5000
0.2500 0.2500 0.2500
0.7500 0.7500 0.7500
0.0000 0.0000 0.0000
```

---

Record 23
The following is a GGA-PBEsol calculation of a relaxed structure of Tm2Ga9Rh3, from Alexandria.

Values from the calculation:
SG   Cmcm, No. 63
Calculated density   9.50 g/cm³
Formation energy from the elements   -0.7430 eV per atom

Geometry as POSCAR:
```
Tm2Ga9Rh3
1.0
-2.9121 -5.6111 -3.8660
5.2735 -1.3471 5.0285
-6.5464 -1.1250 6.5640
Tm Ga Rh
4 18 6
Direct
0.6699 0.9977 0.7500
0.3301 0.0023 0.2500
0.9977 0.6699 0.7500
0.0023 0.3301 0.2500
0.1270 0.1270 0.7500
0.8730 0.8730 0.2500
0.3349 0.0003 0.9196
0.6651 0.9997 0.0804
0.6651 0.9997 0.4196
0.0003 0.3349 0.5804
0.3349 0.0003 0.5804
0.9997 0.6651 0.4196
0.9997 0.6651 0.0804
0.0003 0.3349 0.9196
0.3326 0.3326 0.4327
0.6674 0.6674 0.5673
0.6674 0.6674 0.9327
0.3326 0.3326 0.0673
0.5486 0.3385 0.7500
0.4514 0.6615 0.2500
0.3385 0.5486 0.7500
0.6615 0.4514 0.2500
0.3283 0.6717 0.0000
0.6717 0.3283 0.0000
0.6717 0.3283 0.5000
0.3283 0.6717 0.5000
0.0000 0.0000 0.0000
0.0000 0.0000 0.5000
```

---

Record 24
The following is a GGA-PBEsol calculation of a relaxed structure of UGa5Rh, from Alexandria.

Values from the calculation:
SG   P4/mmm, No. 123
Calculated density   9.49 g/cm³
Formation energy from the elements   -0.4462 eV per atom

Geometry as POSCAR:
```
UGa5Rh
1.0
4.2532 0.0000 0.0000
0.0000 4.2532 0.0000
0.0000 0.0000 6.6717
U Ga Rh
1 5 1
Direct
0.0000 0.0000 0.0000
0.5000 0.5000 0.0000
0.5000 0.0000 0.7027
0.0000 0.5000 0.7027
0.5000 0.0000 0.2973
0.0000 0.5000 0.2973
0.0000 0.0000 0.5000
```

---

Record 25
The following is a GGA-PBEsol calculation of a relaxed structure of YGaRh3, from Alexandria.

Values from the calculation:
SG   Pm-3m, No. 221
Calculated density   8.53 g/cm³
Formation energy from the elements   -0.1164 eV per atom

Geometry as POSCAR:
```
YGaRh3
1.0
-3.7814 -1.9952 1.3972
0.7070 -3.3681 -2.8961
2.3309 -2.2151 3.1451
Y Rh Ga
1 3 1
Direct
0.5000 0.5000 0.5000
0.0000 0.5000 0.0000
0.0000 0.0000 0.5000
0.5000 0.0000 0.0000
0.0000 0.0000 0.0000
```

---

Record order is preserved below.
Total magnetic moment: 0.00, 0.00, 0.00, 0.00, 0.00, 0.00, 0.00, 0.00, 0.00, 0.00, 0.00, 0.00, 0.00, 0.00, 0.00, 1.73, 0.26, 0.00, 0.00, 1.23, 0.00, 0.00, 0.00, 0.00, 0.00 μB per formula unit